## K2PmV2O6 (PBE+U)

Data for a relaxed K2PmV2O6 crystal.

Results
The value obtained for the raw total energy is -6.821 eV per atom.

Cell: 7.1250 7.1250 7.1250 Å, 51.35 51.35 51.35°
With the nearest neighbours (Å) after each atom.
Atoms (fractional coordinates):
K 0.2058 0.2058 0.2058  9 O 2.94-3.21
K 0.7942 0.7942 0.7942  9 O 2.94-3.21
Pm 0.0000 0.0000 0.0000  6 O 2.35
V 0.4208 0.4208 0.4208  3 O 1.76
V 0.5792 0.5792 0.5792  3 O 1.76
O 0.2503 0.2503 0.7419  1 V 1.76
O 0.2503 0.7419 0.2503  1 V 1.76
O 0.2581 0.7497 0.7497  1 V 1.76
O 0.7419 0.2503 0.2503  1 V 1.76
O 0.7497 0.2581 0.7497  1 V 1.76
O 0.7497 0.7497 0.2581  1 V 1.76